Material: K3VO3
Method: DFT, GGA+U
State: relaxed

The calculation puts the excess energy over the best structure of this formula in the dataset at 0.0 meV per atom. Its spin magnetization is 0.033 μB per formula unit.

The space group is Cmcm (No. 63) and the conventional cell measures 8.0571, 13.9270 and 5.6378 Å, with angles of 90.00, 90.00 and 90.00 degrees. The distinct sites, in fractional coordinates, are K at (0.0000, 0.1777, 0.2500), K at (0.2325, 0.4111, 0.2500), V at (0.0000, 0.3331, 0.7500), O at (0.0000, 0.2059, 0.7500) and O at (0.1902, 0.3968, 0.7500).